Record 1
Material: AlGe2MoN
Method: DFT, PBE
State: relaxed

Formation energy from raw total energies, eV/atom: 1.054
D(E_F), states/eV/cell: 6.4
Theoretical density, g/cm3: 5.40

a b c (Å): 5.0920 3.3452 5.0920
angles (deg): 90.00 90.00 90.00
With the nearest neighbours (Å) after each atom.
Positions (direct):
N 0.0000 0.5000 0.0000  2 Al 1.67
Ge 0.5000 0.0000 0.0000  2 Al 2.55
Ge 0.0000 0.0000 0.5000  2 Al 2.55
Al 0.0000 0.0000 0.0000  2 N 1.67
Mo 0.5000 0.5000 0.5000  8 Ge 3.05, 2 Mo 3.35

Record 2
Material: CsAcCu4O6
Method: DFT, PBE
State: relaxed

Formation energy from raw total energies, eV/atom: -0.649
D(E_F), states/eV/cell: 7.1
Theoretical density, g/cm3: 5.77

a b c (Å): 5.7265 5.7265 7.1928
angles (deg): 90.00 90.00 120.00
With the nearest neighbours (Å) after each atom.
Positions (direct):
O 0.0000 0.5000 0.7083  2 Cu 1.82
O 0.0000 0.5000 0.2917  2 Cu 1.82
O 0.5000 0.0000 0.7083  2 Cu 1.82
O 0.5000 0.0000 0.2917  2 Cu 1.82
O 0.5000 0.5000 0.7083  2 Cu 1.82
O 0.5000 0.5000 0.2917  2 Cu 1.82
Cu 0.3333 0.6667 0.1875  3 O 1.82
Cu 0.6667 0.3333 0.1875  3 O 1.82
Cu 0.6667 0.3333 0.8125  3 O 1.82
Cu 0.3333 0.6667 0.8125  3 O 1.82
Cs 0.0000 0.0000 0.0000  12 O 3.55, 12 Cu 3.57, 2 Ac 3.60
Ac 0.0000 0.0000 0.5000  12 O 3.23, 2 Cs 3.60

Record 3
Material: In2GaFeRh
Method: DFT, PBE
State: relaxed

D(E_F), states/eV/cell: 3.0
Theoretical density, g/cm3: 6.93
Formation energy from the elements, kJ per mole of atoms: 50.0

a b c (Å): 4.9626 4.4595 4.9626
angles (deg): 90.00 90.00 90.00
With the nearest neighbours (Å) after each atom.
Positions (direct):
Ga 0.5000 0.5000 0.5000  8 In 3.34, 4 Rh 3.51
Fe 0.0000 0.0000 0.0000  2 Rh 2.23, 4 In 2.48
In 0.5000 0.0000 0.0000  2 Fe 2.48
In 0.0000 0.0000 0.5000  2 Fe 2.48
Rh 0.0000 0.5000 0.0000  2 Fe 2.23

Record 4
Material: V3PtRh2
Method: DFT, PBE
State: relaxed

D(E_F), states/eV/cell: 6.4
Relative energy among the computed polymorphs, eV/f.u.: 0.07
Theoretical density, g/cm3: 11.01
Formation energy from the elements, kJ per mole of atoms: -42.1

a b c (Å): 2.7287 2.7287 11.2179
angles (deg): 90.00 90.00 90.00
With the nearest neighbours (Å) after each atom.
Positions (direct):
V 0.0000 0.0000 0.3270  4 Rh 2.65, 4 V 2.73, 4 Pt 2.74
V 0.0000 0.0000 0.0000  8 Rh 2.67, 4 V 2.73
V 0.0000 0.0000 0.6730  4 Rh 2.65, 4 V 2.73, 4 Pt 2.74
Rh 0.5000 0.5000 0.1645  8 V 2.65-2.67, 4 Rh 2.73
Rh 0.5000 0.5000 0.8355  8 V 2.65-2.67, 4 Rh 2.73
Pt 0.5000 0.5000 0.5000  4 Pt 2.73, 8 V 2.74

Record 5
Material: Nd4Er2Tm5
Method: DFT, PBE
State: relaxed

D(E_F), states/eV/cell: 16.1
Relative energy among the computed polymorphs, eV/f.u.: 1.32
Theoretical density, g/cm3: 7.99
Formation energy from the elements, kJ per mole of atoms: 21.9

a b c (Å): 3.5117 8.7821 12.1613
angles (deg): 100.15 98.30 90.00
With the nearest neighbours (Å) after each atom.
Positions (direct):
Tm 0.2312 0.3279 0.4624  1 Er 3.12, 1 Nd 3.35, 2 Tm 3.47
Tm 0.7688 0.6721 0.5376  1 Er 3.12, 1 Nd 3.35, 2 Tm 3.47
Tm 0.1852 0.9015 0.3704  1 Er 3.45, 7 Tm 3.51-3.73, 2 Nd 3.71
Tm 0.5000 0.0000 0.0000  4 Er 3.22, 4 Nd 3.36, 2 Tm 3.51
Tm 0.8148 0.0985 0.6296  1 Er 3.45, 7 Tm 3.51-3.73, 2 Nd 3.71
Nd 0.0285 0.6966 0.0570  2 Tm 3.36, 5 Nd 3.48-3.51, 1 Er 3.49
Nd 0.9715 0.3034 0.9430  2 Tm 3.36, 5 Nd 3.48-3.51, 1 Er 3.49
Nd 0.6298 0.5336 0.2596  5 Tm 3.35-3.72, 2 Er 3.49, 4 Nd 3.51
Nd 0.3702 0.4664 0.7404  5 Tm 3.35-3.72, 2 Er 3.49, 4 Nd 3.51
Er 0.1026 0.1852 0.2053  4 Tm 3.12-3.45, 3 Nd 3.49
Er 0.8974 0.8148 0.7947  4 Tm 3.12-3.45, 3 Nd 3.49

Record 6
Material: Sb2TeWSe
Method: DFT, PBE
State: relaxed

Formation energy from raw total energies, eV/atom: 1.523
D(E_F), states/eV/cell: 3.2
Relative energy among the computed polymorphs, eV/f.u.: 4.77
Theoretical density, g/cm3: 7.08

a b c (Å): 5.3145 5.3145 5.2609
angles (deg): 90.00 90.00 90.00
With the nearest neighbours (Å) after each atom.
Positions (direct):
Se 0.0000 0.0000 0.0000  2 Te 2.63, 4 Sb 2.66
Sb 0.0000 0.5000 0.0000  2 Se 2.66
Sb 0.5000 0.0000 0.0000  2 Se 2.66
W 0.5000 0.5000 0.5000  8 Sb 3.74, 4 Te 3.76
Te 0.0000 0.0000 0.5000  2 Se 2.63

Record 7
Material: Rb2HfMnCl6
Method: DFT, PBE
State: relaxed

Formation energy from raw total energies, eV/atom: -1.389
D(E_F), states/eV/cell: 4.5
Theoretical density, g/cm3: 3.88

a b c (Å): 7.6185 7.6185 7.0495
angles (deg): 57.29 57.29 90.00
With the nearest neighbours (Å) after each atom.
Positions (direct):
Mn 0.5000 0.5000 0.0000  2 Cl 2.18
Hf 0.0000 0.0000 0.0000  6 Cl 2.37-2.56
Cl 0.7622 0.2378 0.0000  1 Hf 2.56, 1 Mn 2.82
Cl 0.2608 0.2608 0.4784  1 Mn 2.18, 1 Hf 2.37
Cl 0.2378 0.2378 0.0000  1 Hf 2.56, 1 Mn 2.82
Cl 0.7392 0.7392 0.5216  1 Mn 2.18, 1 Hf 2.37
Cl 0.7622 0.7622 0.0000  1 Hf 2.56, 1 Mn 2.82
Cl 0.2378 0.7622 0.0000  1 Hf 2.56, 1 Mn 2.82
Rb 0.7500 0.2500 0.5000  12 Cl 3.53-3.81
Rb 0.2500 0.7500 0.5000  12 Cl 3.53-3.81

Record 8
Material: Pa2GaCN5
Method: DFT, PBE
State: relaxed

Formation energy from raw total energies, eV/atom: -0.121
D(E_F), states/eV/cell: 6.7
Theoretical density, g/cm3: 9.02

a b c (Å): 5.1431 6.6300 6.6300
angles (deg): 90.00 90.00 90.00
With the nearest neighbours (Å) after each atom.
Positions (direct):
N 0.7779 0.3821 0.1179  1 C 1.59
N 0.7779 0.8821 0.3821  1 C 1.59
N 0.7779 0.6179 0.8821  1 C 1.59
N 0.7779 0.1179 0.6179  1 C 1.59
N 0.2221 0.8821 0.3821  1 C 1.59
N 0.5000 0.0000 0.0000  4 Pa 2.41, 2 Ga 2.57
N 0.2221 0.1179 0.6179  1 C 1.59
N 0.2221 0.3821 0.1179  1 C 1.59
N 0.2221 0.6179 0.8821  1 C 1.59
N 0.5000 0.5000 0.5000  4 Pa 2.41, 2 Ga 2.57
Pa 0.5000 0.1921 0.3079  8 N 2.28-2.55
Pa 0.5000 0.6921 0.1921  8 N 2.28-2.55
Pa 0.5000 0.8079 0.6921  8 N 2.28-2.55
Pa 0.5000 0.3079 0.8079  8 N 2.28-2.55
C 0.0000 0.0000 0.5000  4 N 1.59
C 0.0000 0.5000 0.0000  4 N 1.59
Ga 0.0000 0.5000 0.5000  2 N 2.57
Ga 0.0000 0.0000 0.0000  2 N 2.57

> The highest theoretical density belongs to which entry?

V3PtRh2

> The highest theoretical density belongs to which entry?

V3PtRh2

> Which of these has the lowest D(E_F)?

In2GaFeRh

> Among the records above, which one has the highest D(E_F)?

Nd4Er2Tm5